VASP calculation (PBE+U) on crystalline MoIrI2O at its relaxed geometry.

**Spin magnetization**: 4.4 μB per cell
**DFT total energy**: -21.0 eV per formula unit
**Energy relative to the lowest polymorph listed for this composition**: 160 kJ/mol of formula units

abc: 5.762 5.762 3.795
angles: 90.00 90.00 90.00
Site moments in Bohr magnetons follow the coordinates.
Atoms (fractional coordinates):
1 I 0.000 0.500 0.000  0.08
2 I 0.500 0.000 0.000  0.08
3 Mo 0.000 0.000 0.000  2.64
4 Ir 0.500 0.500 0.500  1.48
5 O 0.000 0.000 0.500  -0.21